[1]
This record from Alexandria describes Mg3AlAu3 after structural relaxation. The functional is PBE.

DFT formation energy: -0.454 eV per atom
Total moment: 0.00 μB per atom
SG: R3m, No. 160
VASP energy: -3.076 eV per atom

```
data_Mg3AlAu3
_chemical_formula_sum 'Mg3 Al1 Au3'
_space_group_name_H-M_alt 'P 1'
_space_group_IT_number 1
_space_group_name_Hall 'P 1'
_cell_length_a 5.563
_cell_length_b 5.741
_cell_length_c 5.563
_cell_angle_alpha 110.12
_cell_angle_beta 108.81
_cell_angle_gamma 110.12
loop_
_atom_site_label
_atom_site_type_symbol
_atom_site_fract_x
_atom_site_fract_y
_atom_site_fract_z
_atom_site_occupancy
Mg1 Mg 0.487 0.003 0.000 1
Mg2 Mg 0.513 0.516 0.513 1
Mg3 Mg 0.000 0.003 0.487 1
Al1 Al 0.000 0.494 0.000 1
Au1 Au 0.494 0.501 0.000 1
Au2 Au 0.506 0.007 0.506 1
Au3 Au 0.000 0.501 0.494 1
```



[2]
This record from Alexandria describes LaTi2Co2 after structural relaxation. The functional is PBE.

DFT formation energy: 0.008 eV per atom
Total moment: 0.00 μB per atom
SG: P4/mbm, No. 127
Distance to the lowest polymorph of the same formula: 119 kJ/mol of formula units
VASP energy: -6.978 eV per atom

```
data_LaTi2Co2
_chemical_formula_sum 'La2 Ti4 Co4'
_space_group_name_H-M_alt 'P 1'
_space_group_IT_number 1
_space_group_name_Hall 'P 1'
_cell_length_a 7.486
_cell_length_b 7.486
_cell_length_c 3.059
_cell_angle_alpha 90.00
_cell_angle_beta 90.00
_cell_angle_gamma 90.00
loop_
_atom_site_label
_atom_site_type_symbol
_atom_site_fract_x
_atom_site_fract_y
_atom_site_fract_z
_atom_site_occupancy
Ti1 Ti 0.140 0.640 0.500 1
Ti2 Ti 0.640 0.860 0.500 1
Ti3 Ti 0.860 0.360 0.500 1
Ti4 Ti 0.360 0.140 0.500 1
Co1 Co 0.373 0.873 0.000 1
Co2 Co 0.873 0.627 0.000 1
Co3 Co 0.627 0.127 0.000 1
Co4 Co 0.127 0.373 0.000 1
La1 La 0.000 0.000 0.000 1
La2 La 0.500 0.500 0.000 1
```



[3]
This record from Alexandria describes HfNi2I2 after structural relaxation. The functional is PBE.

Formation energy (no corrections): 410 meV/atom
Total moment: 0.00 μB per atom
SG: I4/mmm, No. 139
Distance to the lowest polymorph of the same formula: 0 kJ/mol of formula units
VASP energy: -4.513 eV per atom

```
data_HfNi2I2
_chemical_formula_sum 'Hf1 Ni2 I2'
_space_group_name_H-M_alt 'P 1'
_space_group_IT_number 1
_space_group_name_Hall 'P 1'
_cell_length_a 3.531
_cell_length_b 3.531
_cell_length_c 8.115
_cell_angle_alpha 77.43
_cell_angle_beta 77.43
_cell_angle_gamma 90.00
loop_
_atom_site_label
_atom_site_type_symbol
_atom_site_fract_x
_atom_site_fract_y
_atom_site_fract_z
_atom_site_occupancy
I1 I 0.384 0.384 0.232 1
I2 I 0.616 0.616 0.768 1
Ni1 Ni 0.750 0.250 0.500 1
Ni2 Ni 0.250 0.750 0.500 1
Hf1 Hf 0.000 0.000 0.000 1
```



[4]
This record from Alexandria describes HIrS2 after structural relaxation. The functional is PBE.

Total moment: 0.00 μB per atom
SG: P-1, No. 2
Distance to the lowest polymorph of the same formula: 0 kJ/mol of formula units
VASP energy: -5.407 eV per atom

```
data_HIrS2
_chemical_formula_sum 'H2 Ir2 S4'
_space_group_name_H-M_alt 'P 1'
_space_group_IT_number 1
_space_group_name_Hall 'P 1'
_cell_length_a 6.208
_cell_length_b 3.651
_cell_length_c 6.333
_cell_angle_alpha 90.00
_cell_angle_beta 70.49
_cell_angle_gamma 89.92
loop_
_atom_site_label
_atom_site_type_symbol
_atom_site_fract_x
_atom_site_fract_y
_atom_site_fract_z
_atom_site_occupancy
H1 H 0.979 0.673 0.648 1
H2 H 0.823 0.171 0.185 1
S1 S 0.219 0.673 0.563 1
S2 S 0.583 0.172 0.271 1
S3 S 0.601 0.672 0.771 1
S4 S 0.201 0.173 0.062 1
Ir1 Ir 0.399 0.672 0.162 1
Ir2 Ir 0.403 0.172 0.672 1
```



[5]
This record from Alexandria describes Cu4SnHg after structural relaxation. The functional is PBE.

DFT formation energy: 0.064 eV per atom
Total moment: 0.00 μB per atom
SG: F-43m, No. 216
VASP energy: -3.384 eV per atom

```
data_Cu4SnHg
_chemical_formula_sum 'Cu4 Sn1 Hg1'
_space_group_name_H-M_alt 'P 1'
_space_group_IT_number 1
_space_group_name_Hall 'P 1'
_cell_length_a 5.083
_cell_length_b 5.083
_cell_length_c 5.083
_cell_angle_alpha 60.00
_cell_angle_beta 60.00
_cell_angle_gamma 60.00
loop_
_atom_site_label
_atom_site_type_symbol
_atom_site_fract_x
_atom_site_fract_y
_atom_site_fract_z
_atom_site_occupancy
Hg1 Hg 0.250 0.250 0.250 1
Cu1 Cu 0.625 0.625 0.125 1
Cu2 Cu 0.625 0.125 0.625 1
Cu3 Cu 0.625 0.625 0.625 1
Cu4 Cu 0.125 0.625 0.625 1
Sn1 Sn 0.000 0.000 0.000 1
```



[6]
This record from Alexandria describes Nb2MoHRu after structural relaxation. The functional is PBE.

Total moment: 0.00 μB per atom
SG: P4/mmm, No. 123
Distance to the lowest polymorph of the same formula: 30 kJ/mol of formula units
VASP energy: -8.764 eV per atom

```
data_Nb2MoHRu
_chemical_formula_sum 'Nb2 Mo1 H1 Ru1'
_space_group_name_H-M_alt 'P 1'
_space_group_IT_number 1
_space_group_name_Hall 'P 1'
_cell_length_a 4.469
_cell_length_b 4.469
_cell_length_c 3.460
_cell_angle_alpha 90.00
_cell_angle_beta 90.00
_cell_angle_gamma 90.00
loop_
_atom_site_label
_atom_site_type_symbol
_atom_site_fract_x
_atom_site_fract_y
_atom_site_fract_z
_atom_site_occupancy
Ru1 Ru 0.500 0.500 0.500 1
Mo1 Mo 0.000 0.000 0.500 1
Nb1 Nb 0.000 0.500 0.000 1
Nb2 Nb 0.500 0.000 0.000 1
H1 H 0.000 0.000 0.000 1
```



[7]
This record from Alexandria describes Zn2HgPt9 after structural relaxation. The functional is PBE.

DFT formation energy: -0.202 eV per atom
Total moment: 0.00 μB per atom
SG: P4/mmm, No. 123
VASP energy: -4.970 eV per atom

```
data_Zn2HgPt9
_chemical_formula_sum 'Zn2 Hg1 Pt9'
_space_group_name_H-M_alt 'P 1'
_space_group_IT_number 1
_space_group_name_Hall 'P 1'
_cell_length_a 3.970
_cell_length_b 3.970
_cell_length_c 11.979
_cell_angle_alpha 90.00
_cell_angle_beta 90.00
_cell_angle_gamma 90.00
loop_
_atom_site_label
_atom_site_type_symbol
_atom_site_fract_x
_atom_site_fract_y
_atom_site_fract_z
_atom_site_occupancy
Zn1 Zn 0.000 0.000 0.337 1
Zn2 Zn 0.000 0.000 0.663 1
Hg1 Hg 0.000 0.000 0.000 1
Pt1 Pt 0.500 0.500 0.000 1
Pt2 Pt 0.500 0.500 0.339 1
Pt3 Pt 0.500 0.500 0.661 1
Pt4 Pt 0.500 0.000 0.178 1
Pt5 Pt 0.500 0.000 0.500 1
Pt6 Pt 0.500 0.000 0.822 1
Pt7 Pt 0.000 0.500 0.178 1
Pt8 Pt 0.000 0.500 0.500 1
Pt9 Pt 0.000 0.500 0.822 1
```



[8]
This record from Alexandria describes MnReTe2 after structural relaxation. The functional is PBE.

Formation energy (no corrections): 84 meV/atom
Total moment: 0.67 μB per atom
SG: Pm, No. 6
Distance to the lowest polymorph of the same formula: 0 kJ/mol of formula units
VASP energy: -6.892 eV per atom

```
data_MnReTe2
_chemical_formula_sum 'Mn1 Re1 Te2'
_space_group_name_H-M_alt 'P 1'
_space_group_IT_number 1
_space_group_name_Hall 'P 1'
_cell_length_a 3.824
_cell_length_b 3.826
_cell_length_c 6.890
_cell_angle_alpha 89.93
_cell_angle_beta 90.00
_cell_angle_gamma 90.00
loop_
_atom_site_label
_atom_site_type_symbol
_atom_site_fract_x
_atom_site_fract_y
_atom_site_fract_z
_atom_site_occupancy
Mn1 Mn 0.000 0.375 0.625 1
Re1 Re 0.500 0.875 0.625 1
Te1 Te 0.000 0.875 0.896 1
Te2 Te 0.500 0.376 0.354 1
```



[9]
This record from Alexandria describes CaTiMn3 after structural relaxation. The functional is PBE.

DFT formation energy: 0.702 eV per atom
Total moment: 1.76 μB per atom
SG: Pm-3m, No. 221
Distance to the lowest polymorph of the same formula: 0 kJ/mol of formula units
VASP energy: -6.779 eV per atom

```
data_CaTiMn3
_chemical_formula_sum 'Ca1 Ti1 Mn3'
_space_group_name_H-M_alt 'P 1'
_space_group_IT_number 1
_space_group_name_Hall 'P 1'
_cell_length_a 4.681
_cell_length_b 4.681
_cell_length_c 4.681
_cell_angle_alpha 90.00
_cell_angle_beta 90.00
_cell_angle_gamma 90.00
loop_
_atom_site_label
_atom_site_type_symbol
_atom_site_fract_x
_atom_site_fract_y
_atom_site_fract_z
_atom_site_occupancy
Ca1 Ca 0.500 0.500 0.500 1
Mn1 Mn 0.000 0.500 0.000 1
Mn2 Mn 0.000 0.000 0.500 1
Mn3 Mn 0.500 0.000 0.000 1
Ti1 Ti 0.000 0.000 0.000 1
```



[10]
This record from Alexandria describes TaTiSi after structural relaxation. The functional is PBE.

Formation energy (no corrections): -640 meV/atom
Total moment: 0.00 μB per atom
SG: Fddd, No. 70
VASP energy: -9.030 eV per atom

```
data_TaTiSi
_chemical_formula_sum 'Ta4 Ti4 Si4'
_space_group_name_H-M_alt 'P 1'
_space_group_IT_number 1
_space_group_name_Hall 'P 1'
_cell_length_a 5.018
_cell_length_b 5.004
_cell_length_c 9.159
_cell_angle_alpha 82.10
_cell_angle_beta 74.10
_cell_angle_gamma 59.90
loop_
_atom_site_label
_atom_site_type_symbol
_atom_site_fract_x
_atom_site_fract_y
_atom_site_fract_z
_atom_site_occupancy
Ta1 Ta 0.172 0.500 0.657 1
Ta2 Ta 0.328 0.500 0.343 1
Ta3 Ta 0.578 0.000 0.843 1
Ta4 Ta 0.422 0.000 0.157 1
Ti1 Ti 0.579 0.842 0.500 1
Ti2 Ti 0.921 0.158 0.500 1
Ti3 Ti 0.171 0.658 0.000 1
Ti4 Ti 0.829 0.342 0.000 1
Si1 Si 0.626 0.500 0.748 1
Si2 Si 0.874 0.500 0.252 1
Si3 Si 0.124 0.000 0.752 1
Si4 Si 0.876 0.000 0.248 1
```